(1)
This record from Alexandria describes a PBEsol-optimized structure of Mg3TaCd. The functional is meta-GGA SCAN.

Output
**Total magnetization**: 2.38 μB per formula unit
**E_form**: 1.08 eV per atom
**DFT total energy**: -21.30 eV per atom
**Density of states at the Fermi level**: 3.1 states/eV/f.u.

Unit cell a=4.968 b=4.968 c=4.968 alpha=90.00 beta=90.00 gamma=90.00
Space group Pm-3m (No. 221)
Symmetry-distinct sites (fractional):
Mg: 0.000 0.000 0.500 (multiplicity 3)
Ta: 0.500 0.500 0.500 (multiplicity 1)
Cd: 0.000 0.000 0.000 (multiplicity 1)

=====

(2)
This record from Alexandria describes a PBEsol-optimized structure of MgTa2Cd. The functional is meta-GGA SCAN.

Output
**Total magnetization**: 0.02 μB per formula unit
**E_form**: 0.31 eV per atom
**DFT total energy**: -41.82 eV per atom
**Density of states at the Fermi level**: 4.0 states/eV/f.u.
**E above lowest polymorph**: 95.2 meV/atom

Unit cell a=3.339 b=4.468 c=9.909 alpha=90.00 beta=90.00 gamma=90.00
Space group Cmmm (No. 65)
Symmetry-distinct sites (fractional):
Mg: 0.000 0.000 0.000 (multiplicity 2)
Ta: 0.000 0.500 0.250 (multiplicity 4)
Cd: 0.000 0.000 0.500 (multiplicity 2)

=====

(3)
This record from Alexandria describes a PBEsol-optimized structure of Mg2TaCd. The functional is meta-GGA SCAN.

Output
**Total magnetization**: 0.17 μB per formula unit
**E_form**: 0.26 eV per atom
**DFT total energy**: -26.47 eV per atom
**Density of states at the Fermi level**: 3.0 states/eV/f.u.

Unit cell a=2.919 b=4.380 c=6.066 alpha=90.00 beta=90.00 gamma=90.00
Space group Pmm2 (No. 25)
Symmetry-distinct sites (fractional):
Mg: 0.000 0.000 0.000 (multiplicity 1)
Mg: 0.500 0.500 0.262 (multiplicity 1)
Ta: 0.000 0.000 0.500 (multiplicity 1)
Cd: 0.500 0.500 0.739 (multiplicity 1)

=====

(4)
This record from Alexandria describes a PBEsol-optimized structure of Mg2TaCd. The functional is meta-GGA SCAN.

Output
**Total magnetization**: 0.00 μB per formula unit
**E_form**: 0.09 eV per atom
**DFT total energy**: -26.65 eV per atom
**Density of states at the Fermi level**: 1.6 states/eV/f.u.

Unit cell a=4.098 b=4.115 c=9.172 alpha=90.00 beta=90.00 gamma=90.00
Space group Cmmm (No. 65)
Symmetry-distinct sites (fractional):
Mg: 0.000 0.000 0.241 (multiplicity 4)
Ta: 0.000 0.500 0.000 (multiplicity 2)
Cd: 0.000 0.500 0.500 (multiplicity 2)

=====

(5)
This record from Alexandria describes a PBEsol-optimized structure of Y2MgTaCd. The functional is meta-GGA SCAN.

Output
**Total magnetization**: 0.00 μB per formula unit
**E_form**: 0.68 eV per atom
**DFT total energy**: -30.85 eV per atom
**Density of states at the Fermi level**: 3.5 states/eV/f.u.
**E above lowest polymorph**: 0.0 meV/atom

Unit cell a=5.282 b=5.282 c=5.420 alpha=90.00 beta=90.00 gamma=90.00
Space group P4/mmm (No. 123)
Symmetry-distinct sites (fractional):
Y: 0.000 0.500 0.000 (multiplicity 2)
Mg: 0.000 0.000 0.500 (multiplicity 1)
Ta: 0.500 0.500 0.000 (multiplicity 1)
Cd: 0.500 0.500 0.500 (multiplicity 1)

=====

(6)
This record from Alexandria describes a PBEsol-optimized structure of Y2MgTaCd. The functional is meta-GGA SCAN.

Output
**Total magnetization**: 0.00 μB per formula unit
**E_form**: 1.05 eV per atom
**DFT total energy**: -30.48 eV per atom
**Density of states at the Fermi level**: 2.3 states/eV/f.u.
**E above lowest polymorph**: 370.2 meV/atom

Unit cell a=5.313 b=5.313 c=4.906 alpha=90.00 beta=90.00 gamma=90.00
Space group P4/mmm (No. 123)
Symmetry-distinct sites (fractional):
Y: 0.000 0.500 0.000 (multiplicity 2)
Mg: 0.000 0.000 0.000 (multiplicity 1)
Ta: 0.000 0.000 0.500 (multiplicity 1)
Cd: 0.500 0.500 0.500 (multiplicity 1)

=====

(7)
This record from Alexandria describes a PBEsol-optimized structure of MgCd2Tc2. The functional is meta-GGA SCAN.

Output
**Total magnetization**: 0.00 μB per formula unit
**E_form**: 0.44 eV per atom
**DFT total energy**: -26.75 eV per atom
**Density of states at the Fermi level**: 2.8 states/eV/f.u.

Unit cell a=3.545 b=3.545 c=14.731 alpha=90.00 beta=90.00 gamma=90.00
Space group I4/mmm (No. 139)
Symmetry-distinct sites (fractional):
Mg: 0.000 0.000 0.000 (multiplicity 2)
Cd: 0.000 0.000 0.401 (multiplicity 4)
Tc: 0.000 0.500 0.250 (multiplicity 4)

=====

(8)
This record from Alexandria describes a PBEsol-optimized structure of MgCdTc2. The functional is meta-GGA SCAN.

Output
**Total magnetization**: 0.00 μB per formula unit
**E_form**: 0.35 eV per atom
**DFT total energy**: -26.02 eV per atom
**Density of states at the Fermi level**: 2.9 states/eV/f.u.
**E above lowest polymorph**: 376.6 meV/atom

Unit cell a=3.749 b=3.749 c=9.029 alpha=90.00 beta=90.00 gamma=90.00
Space group I4/mmm (No. 139)
Symmetry-distinct sites (fractional):
Mg: 0.000 0.000 0.000 (multiplicity 2)
Cd: 0.000 0.000 0.500 (multiplicity 2)
Tc: 0.000 0.500 0.250 (multiplicity 4)

=====

(9)
This record from Alexandria describes a PBEsol-optimized structure of MgCdTc2. The functional is meta-GGA SCAN.

Output
**Total magnetization**: 0.00 μB per formula unit
**E_form**: -0.02 eV per atom
**DFT total energy**: -26.40 eV per atom
**Density of states at the Fermi level**: 1.4 states/eV/f.u.
**E above lowest polymorph**: 0.0 meV/atom

Unit cell a=3.002 b=3.002 c=7.326 alpha=90.00 beta=90.00 gamma=90.00
Space group P4mm (No. 99)
Symmetry-distinct sites (fractional):
Mg: 0.000 0.000 0.000 (multiplicity 1)
Cd: 0.500 0.500 0.710 (multiplicity 1)
Tc: 0.000 0.000 0.437 (multiplicity 1)
Tc: 0.500 0.500 0.251 (multiplicity 1)

=====

(10)
This record from Alexandria describes a PBEsol-optimized structure of MgCdTc2. The functional is meta-GGA SCAN.

Output
**Total magnetization**: 0.00 μB per formula unit
**E_form**: 0.41 eV per atom
**DFT total energy**: -25.97 eV per atom
**Density of states at the Fermi level**: 3.1 states/eV/f.u.
**E above lowest polymorph**: 429.9 meV/atom

Unit cell a=2.659 b=2.659 c=9.019 alpha=90.00 beta=90.00 gamma=90.00
Space group P4/mmm (No. 123)
Symmetry-distinct sites (fractional):
Mg: 0.000 0.000 0.000 (multiplicity 1)
Cd: 0.000 0.000 0.500 (multiplicity 1)
Tc: 0.500 0.500 0.245 (multiplicity 2)

=====

(11)
This record from Alexandria describes a PBEsol-optimized structure of MgCd2Te. The functional is meta-GGA SCAN.

Output
**Total magnetization**: 0.00 μB per formula unit
**E_form (uncorrected)**: -217 meV/atom
**DFT total energy**: -25.98 eV per atom
**Density of states at the Fermi level**: 1.1 states/eV/f.u.

Unit cell a=4.017 b=3.941 c=6.624 alpha=90.00 beta=107.20 gamma=90.00
Space group Pm (No. 6)
Symmetry-distinct sites (fractional):
Mg: 0.000 0.000 0.000 (multiplicity 1)
Cd: 0.338 0.500 0.663 (multiplicity 1)
Cd: 0.776 0.000 0.535 (multiplicity 1)
Te: 0.572 0.500 0.147 (multiplicity 1)

=====

(12)
This record from Alexandria describes a PBEsol-optimized structure of Mg3TiCd. The functional is meta-GGA SCAN.

Output
**Total magnetization**: 3.26 μB per formula unit
**E_form**: 0.99 eV per atom
**DFT total energy**: -11.28 eV per atom
**Density of states at the Fermi level**: 4.6 states/eV/f.u.

Unit cell a=5.342 b=5.342 c=5.342 alpha=90.00 beta=90.00 gamma=90.00
Space group Pm-3m (No. 221)
Symmetry-distinct sites (fractional):
Mg: 0.000 0.000 0.500 (multiplicity 3)
Ti: 0.000 0.000 0.000 (multiplicity 1)
Cd: 0.500 0.500 0.500 (multiplicity 1)